The following is a GGA-PBE calculation of an optimized crystal structure of CrInAs2C, from Alexandria via LeMat-Bulk.

Summary:
- ΔE_f: 209 kJ/mol of atoms
- Total DFT energy (no corrections): -0.2949 Ry per atom

Structure (CIF):
```
data_CrInAs2C
_cell_length_a 5.272
_cell_length_b 5.272
_cell_length_c 4.029
_cell_angle_alpha 90.00
_cell_angle_beta 90.00
_cell_angle_gamma 90.00
_space_group_name_H-M_alt 'P 4/m m m'
_space_group_IT_number 123
_space_group_name_Hall '-P 4 2'
loop_
_atom_site_label
_atom_site_fract_x
_atom_site_fract_y
_atom_site_fract_z
Cr1 0.000 0.000 0.000
In1 0.500 0.500 0.500
As1 0.000 0.500 0.500
C1 0.500 0.500 0.000
```

=====

The following is a GGA-PBE calculation of an optimized crystal structure of Mg2MnGa6, from Alexandria via LeMat-Bulk.

Summary:
- ΔE_f: -5 kJ/mol of atoms
- Total DFT energy (no corrections): -0.2534 Ry per atom

Structure (CIF):
```
data_Mg2MnGa6
_cell_length_a 9.419
_cell_length_b 5.440
_cell_length_c 6.296
_cell_angle_alpha 90.00
_cell_angle_beta 90.08
_cell_angle_gamma 90.00
_space_group_name_H-M_alt 'C 1 2/m 1'
_space_group_IT_number 12
_space_group_name_Hall '-C 2y'
loop_
_atom_site_label
_atom_site_fract_x
_atom_site_fract_y
_atom_site_fract_z
Mg1 0.167 0.000 0.084
Mn1 0.000 0.500 0.000
Ga1 0.084 0.247 0.682
Ga2 0.169 0.500 0.319
```